! Al2FePb PBE-GGA optimized geometry; values from VASP
&SYSTEM
  ibrav = 0, nat = 4, ntyp = 3
/
ATOMIC_SPECIES
Pb 207.20 Pb.upf
Fe 55.84 Fe.upf
Al 26.98 Al.upf
CELL_PARAMETERS angstrom
5.194 -0.003 0.000
2.003 4.792 0.000
-3.599 -2.395 2.880
ATOMIC_POSITIONS crystal
Pb 0.750 0.250 0.500
Fe 0.250 0.750 0.500
Al 0.000 0.000 0.000
Al 0.500 0.500 0.000
! ΔH_f (0 K)	384	meV per atom
! total magnetic moment	2.42	Bohr magnetons per cell